Entry 1:
DFT (PBE-GGA) results for crystalline LiTl2Pb at its relaxed geometry. Values from VASP.

Structure (Quantum ESPRESSO input):
```
&SYSTEM
  ibrav = 0, nat = 4, ntyp = 3
/
ATOMIC_SPECIES
Li 6.94 Li.upf
Tl 204.38 Tl.upf
Pb 207.20 Pb.upf
ATOMIC_POSITIONS crystal
Li 0.000 0.000 0.000
Tl 0.500 0.500 0.216
Tl 0.500 0.500 0.784
Pb 0.000 0.000 0.500
CELL_PARAMETERS angstrom
2.434 -2.442 0.000
2.434 2.442 0.000
0.000 0.000 8.928
```

Calculated values
The relative energy among the computed polymorphs is 4 meV per atom.

Entry 2:
DFT (PBE-GGA) results for crystalline Li2TlPb4 at its relaxed geometry. Values from VASP.

Structure (Quantum ESPRESSO input):
```
&SYSTEM
  ibrav = 0, nat = 7, ntyp = 3
/
ATOMIC_SPECIES
Li 6.94 Li.upf
Tl 204.38 Tl.upf
Pb 207.20 Pb.upf
ATOMIC_POSITIONS crystal
Li 0.225 0.225 0.775
Li 0.775 0.775 0.225
Tl 0.500 0.500 0.500
Pb 0.166 0.834 0.166
Pb 0.250 0.250 0.250
Pb 0.750 0.750 0.750
Pb 0.834 0.166 0.834
CELL_PARAMETERS angstrom
0.000 5.065 5.782
3.307 0.000 5.782
3.307 5.065 0.000
```

Calculated values
The total energy is -21.7 eV/cell.

Entry 3:
DFT (PBE-GGA) results for crystalline LiTlPb at its relaxed geometry. Values from VASP.

Structure (Quantum ESPRESSO input):
```
&SYSTEM
  ibrav = 0, nat = 6, ntyp = 3
/
ATOMIC_SPECIES
Li 6.94 Li.upf
Tl 204.38 Tl.upf
Pb 207.20 Pb.upf
ATOMIC_POSITIONS crystal
Li 0.000 0.000 0.000
Li 0.000 0.000 0.500
Tl 0.667 0.333 0.186
Tl 0.667 0.333 0.814
Pb 0.333 0.667 0.310
Pb 0.333 0.667 0.690
CELL_PARAMETERS angstrom
4.966 0.000 0.000
-2.483 4.300 0.000
0.000 0.000 8.183
```

Calculated values
The total energy is -16.0 eV/cell.

Entry 4:
DFT (PBE-GGA) results for crystalline Li2TlPb2 at its relaxed geometry. Values from VASP.

Structure (Quantum ESPRESSO input):
```
&SYSTEM
  ibrav = 0, nat = 10, ntyp = 3
/
ATOMIC_SPECIES
Li 6.94 Li.upf
Tl 204.38 Tl.upf
Pb 207.20 Pb.upf
ATOMIC_POSITIONS crystal
Li 0.142 0.358 0.000
Li 0.358 0.858 0.000
Li 0.642 0.142 0.000
Li 0.858 0.642 0.000
Tl 0.000 0.000 0.000
Tl 0.500 0.500 0.000
Pb 0.155 0.655 0.500
Pb 0.345 0.155 0.500
Pb 0.655 0.845 0.500
Pb 0.845 0.345 0.500
CELL_PARAMETERS angstrom
7.992 0.000 0.000
0.000 7.992 0.000
0.000 0.000 3.791
```

Calculated values
The relative energy among the computed polymorphs is 0 meV per atom.

Entry 5:
DFT (PBE-GGA) results for crystalline LiTlPb2 at its relaxed geometry. Values from VASP.

Structure (Quantum ESPRESSO input):
```
&SYSTEM
  ibrav = 0, nat = 4, ntyp = 3
/
ATOMIC_SPECIES
Li 6.94 Li.upf
Tl 204.38 Tl.upf
Pb 207.20 Pb.upf
ATOMIC_POSITIONS crystal
Li 0.000 0.000 0.000
Tl 0.000 0.000 0.500
Pb 0.500 0.500 0.208
Pb 0.500 0.500 0.792
CELL_PARAMETERS angstrom
2.440 -2.445 0.000
2.440 2.445 0.000
0.000 0.000 9.060
```

Calculated values
The total energy is -12.2 eV/cell.

Entry 6:
DFT (PBE-GGA) results for crystalline Li8TlPb3 at its relaxed geometry. Values from VASP.

Structure (Quantum ESPRESSO input):
```
&SYSTEM
  ibrav = 0, nat = 12, ntyp = 3
/
ATOMIC_SPECIES
Li 6.94 Li.upf
Tl 204.38 Tl.upf
Pb 207.20 Pb.upf
ATOMIC_POSITIONS crystal
Li 0.000 0.168 0.168
Li 0.000 0.832 0.832
Li 0.149 0.229 0.580
Li 0.149 0.569 0.920
Li 0.496 0.166 0.670
Li 0.496 0.827 0.330
Li 0.649 0.229 0.080
Li 0.649 0.569 0.420
Tl 0.984 0.484 0.500
Pb 0.156 0.904 0.252
Pb 0.494 0.494 0.000
Pb 0.652 0.904 0.748
CELL_PARAMETERS angstrom
-4.585 5.028 2.589
4.585 -5.028 2.589
4.585 5.028 -2.589
```

Calculated values
The total energy is -32.3 eV/cell.

Entry 7:
DFT (PBE-GGA) results for crystalline LiTl2Pb at its relaxed geometry. Values from VASP.

Structure (Quantum ESPRESSO input):
```
&SYSTEM
  ibrav = 0, nat = 4, ntyp = 3
/
ATOMIC_SPECIES
Li 6.94 Li.upf
Tl 204.38 Tl.upf
Pb 207.20 Pb.upf
ATOMIC_POSITIONS crystal
Li 0.000 0.000 0.000
Tl 0.260 0.260 0.260
Tl 0.740 0.740 0.740
Pb 0.500 0.500 0.500
CELL_PARAMETERS angstrom
1.781 1.028 9.860
-1.781 1.028 9.860
0.000 -2.056 9.860
```

Calculated values
The relative energy among the computed polymorphs is 33 meV per atom.

Entry 8:
DFT (PBE-GGA) results for crystalline LiTlPb at its relaxed geometry. Values from VASP.

Structure (Quantum ESPRESSO input):
```
&SYSTEM
  ibrav = 0, nat = 6, ntyp = 3
/
ATOMIC_SPECIES
Li 6.94 Li.upf
Tl 204.38 Tl.upf
Pb 207.20 Pb.upf
ATOMIC_POSITIONS crystal
Li 0.000 0.000 0.000
Li 0.500 0.000 0.282
Tl 0.000 0.500 0.777
Tl 0.500 0.000 0.608
Pb 0.000 0.500 0.397
Pb 0.500 0.500 0.086
CELL_PARAMETERS angstrom
3.542 0.000 0.000
0.000 4.783 0.000
0.000 0.000 9.430
```

Calculated values
The total energy is -16.7 eV/cell.

Entry 9:
DFT (PBE-GGA) results for crystalline Li3Tl2Pb at its relaxed geometry. Values from VASP.

Structure (Quantum ESPRESSO input):
```
&SYSTEM
  ibrav = 0, nat = 6, ntyp = 3
/
ATOMIC_SPECIES
Li 6.94 Li.upf
Tl 204.38 Tl.upf
Pb 207.20 Pb.upf
ATOMIC_POSITIONS crystal
Li 0.000 0.000 0.000
Li 0.000 0.000 0.330
Li 0.000 0.000 0.670
Tl 0.500 0.500 0.166
Tl 0.500 0.500 0.834
Pb 0.500 0.500 0.500
CELL_PARAMETERS angstrom
3.532 0.000 0.000
0.000 3.532 0.000
0.000 0.000 10.397
```

Calculated values
The total energy is -15.6 eV/cell.

Entry 10:
DFT (PBE-GGA) results for crystalline LiTlPb at its relaxed geometry. Values from VASP.

Structure (Quantum ESPRESSO input):
```
&SYSTEM
  ibrav = 0, nat = 3, ntyp = 3
/
ATOMIC_SPECIES
Li 6.94 Li.upf
Tl 204.38 Tl.upf
Pb 207.20 Pb.upf
ATOMIC_POSITIONS crystal
Li 0.000 0.000 0.000
Tl 0.667 0.333 0.971
Pb 0.333 0.667 0.483
CELL_PARAMETERS angstrom
5.157 0.000 0.000
-2.579 4.466 0.000
0.000 0.000 3.487
```

Calculated values
The total energy is -8.4 eV/cell.

Entry 11:
DFT (PBE-GGA) results for crystalline LiTl2Pb at its relaxed geometry. Values from VASP.

Structure (Quantum ESPRESSO input):
```
&SYSTEM
  ibrav = 0, nat = 4, ntyp = 3
/
ATOMIC_SPECIES
Li 6.94 Li.upf
Tl 204.38 Tl.upf
Pb 207.20 Pb.upf
ATOMIC_POSITIONS crystal
Li 0.000 0.000 0.000
Tl 0.500 0.500 0.500
Tl 0.750 0.750 0.750
Pb 0.250 0.250 0.250
CELL_PARAMETERS angstrom
0.000 3.818 3.818
3.818 0.000 3.818
3.818 3.818 0.000
```

Calculated values
The relative energy among the computed polymorphs is 50 meV per atom.

Entry 12:
DFT (PBE-GGA) results for crystalline LiTlPb at its relaxed geometry. Values from VASP.

Structure (Quantum ESPRESSO input):
```
&SYSTEM
  ibrav = 0, nat = 6, ntyp = 3
/
ATOMIC_SPECIES
Li 6.94 Li.upf
Tl 204.38 Tl.upf
Pb 207.20 Pb.upf
ATOMIC_POSITIONS crystal
Li 0.250 0.250 0.238
Li 0.750 0.750 0.762
Tl 0.250 0.750 0.500
Tl 0.750 0.250 0.500
Pb 0.250 0.250 0.875
Pb 0.750 0.750 0.125
CELL_PARAMETERS angstrom
4.379 0.000 0.000
0.000 4.379 0.000
0.000 0.000 8.002
```

Calculated values
The total energy is -16.3 eV/cell.

Entry 13:
DFT (PBE-GGA) results for crystalline LiTl5Pb4 at its relaxed geometry. Values from VASP.

Structure (Quantum ESPRESSO input):
```
&SYSTEM
  ibrav = 0, nat = 10, ntyp = 3
/
ATOMIC_SPECIES
Li 6.94 Li.upf
Tl 204.38 Tl.upf
Pb 207.20 Pb.upf
ATOMIC_POSITIONS crystal
Li 0.000 0.000 0.000
Tl 0.500 0.500 0.078
Tl 0.500 0.500 0.287
Tl 0.500 0.500 0.500
Tl 0.500 0.500 0.713
Tl 0.500 0.500 0.922
Pb 0.000 0.000 0.179
Pb 0.000 0.000 0.392
Pb 0.000 0.000 0.608
Pb 0.000 0.000 0.821
CELL_PARAMETERS angstrom
3.385 0.000 0.000
0.000 3.385 0.000
0.000 0.000 25.662
```

Calculated values
The total energy is -28.9 eV/cell.

Entry 14:
DFT (PBE-GGA) results for crystalline LiTl2Pb3 at its relaxed geometry. Values from VASP.

Structure (Quantum ESPRESSO input):
```
&SYSTEM
  ibrav = 0, nat = 12, ntyp = 3
/
ATOMIC_SPECIES
Li 6.94 Li.upf
Tl 204.38 Tl.upf
Pb 207.20 Pb.upf
ATOMIC_POSITIONS crystal
Li 0.136 0.864 0.750
Li 0.864 0.136 0.250
Tl 0.202 0.459 0.582
Tl 0.459 0.202 0.082
Tl 0.541 0.798 0.918
Tl 0.798 0.541 0.418
Pb 0.035 0.259 0.897
Pb 0.259 0.035 0.397
Pb 0.379 0.621 0.250
Pb 0.621 0.379 0.750
Pb 0.741 0.965 0.603
Pb 0.965 0.741 0.103
CELL_PARAMETERS angstrom
7.545 -4.892 0.000
7.545 4.892 0.000
-1.615 0.000 4.708
```

Calculated values
The relative energy among the computed polymorphs is 0 meV per atom.

Entry 15:
DFT (PBE-GGA) results for crystalline LiTl4Pb at its relaxed geometry. Values from VASP.

Structure (Quantum ESPRESSO input):
```
&SYSTEM
  ibrav = 0, nat = 6, ntyp = 3
/
ATOMIC_SPECIES
Li 6.94 Li.upf
Tl 204.38 Tl.upf
Pb 207.20 Pb.upf
ATOMIC_POSITIONS crystal
Li 0.000 0.000 0.000
Tl 0.125 0.625 0.625
Tl 0.625 0.125 0.625
Tl 0.625 0.625 0.125
Tl 0.625 0.625 0.625
Pb 0.250 0.250 0.250
CELL_PARAMETERS angstrom
0.000 4.533 4.533
4.533 0.000 4.533
4.533 4.533 0.000
```

Calculated values
The relative energy among the computed polymorphs is 118 meV per atom.

Entry 16:
DFT (PBE-GGA) results for crystalline LiTlPb at its relaxed geometry. Values from VASP.

Structure (Quantum ESPRESSO input):
```
&SYSTEM
  ibrav = 0, nat = 6, ntyp = 3
/
ATOMIC_SPECIES
Li 6.94 Li.upf
Tl 204.38 Tl.upf
Pb 207.20 Pb.upf
ATOMIC_POSITIONS crystal
Li 0.221 0.000 0.314
Li 0.779 0.000 0.686
Tl 0.267 0.500 0.635
Tl 0.733 0.500 0.365
Pb 0.000 0.500 0.000
Pb 0.500 0.000 0.000
CELL_PARAMETERS angstrom
5.871 0.000 0.000
0.000 3.518 0.000
-1.111 0.000 7.650
```

Calculated values
The total energy is -16.8 eV/cell.

Entry 17:
DFT (PBE-GGA) results for crystalline LiTl4Pb2 at its relaxed geometry. Values from VASP.

Structure (Quantum ESPRESSO input):
```
&SYSTEM
  ibrav = 0, nat = 7, ntyp = 3
/
ATOMIC_SPECIES
Li 6.94 Li.upf
Tl 204.38 Tl.upf
Pb 207.20 Pb.upf
ATOMIC_POSITIONS crystal
Li 0.000 0.000 0.000
Tl 0.000 0.500 0.000
Tl 0.318 0.682 0.500
Tl 0.500 0.000 0.000
Tl 0.682 0.318 0.500
Pb 0.184 0.184 0.500
Pb 0.816 0.816 0.500
CELL_PARAMETERS angstrom
4.590 -4.792 0.000
4.590 4.792 0.000
0.000 0.000 4.846
```

Calculated values
The relative energy among the computed polymorphs is 0 meV per atom.

Entry 18:
DFT (PBE-GGA) results for crystalline Li2TlPb at its relaxed geometry. Values from VASP.

Structure (Quantum ESPRESSO input):
```
&SYSTEM
  ibrav = 0, nat = 8, ntyp = 3
/
ATOMIC_SPECIES
Li 6.94 Li.upf
Tl 204.38 Tl.upf
Pb 207.20 Pb.upf
ATOMIC_POSITIONS crystal
Li 0.119 0.625 0.994
Li 0.375 0.369 0.494
Li 0.631 0.125 0.006
Li 0.875 0.881 0.506
Tl 0.000 0.000 0.000
Tl 0.750 0.250 0.500
Pb 0.250 0.750 0.500
Pb 0.500 0.500 0.000
CELL_PARAMETERS angstrom
-3.890 3.890 3.222
3.890 -3.890 3.222
3.890 3.890 -3.222
```

Calculated values
The relative energy among the computed polymorphs is 190 meV per atom.

Entry 19:
DFT (PBE-GGA) results for crystalline LiTl2Pb at its relaxed geometry. Values from VASP.

Structure (Quantum ESPRESSO input):
```
&SYSTEM
  ibrav = 0, nat = 4, ntyp = 3
/
ATOMIC_SPECIES
Li 6.94 Li.upf
Tl 204.38 Tl.upf
Pb 207.20 Pb.upf
ATOMIC_POSITIONS crystal
Li 0.000 0.000 0.000
Tl 0.000 0.000 0.507
Tl 0.500 0.500 0.798
Pb 0.500 0.500 0.213
CELL_PARAMETERS angstrom
3.531 0.000 0.000
0.000 3.531 0.000
0.000 0.000 8.567
```

Calculated values
The relative energy among the computed polymorphs is 4 meV per atom.

Entry 20:
DFT (PBE-GGA) results for crystalline LiTl8Pb2 at its relaxed geometry. Values from VASP.

Structure (Quantum ESPRESSO input):
```
&SYSTEM
  ibrav = 0, nat = 11, ntyp = 3
/
ATOMIC_SPECIES
Li 6.94 Li.upf
Tl 204.38 Tl.upf
Pb 207.20 Pb.upf
ATOMIC_POSITIONS crystal
Li 0.000 0.000 0.000
Tl 0.168 0.674 0.187
Tl 0.262 0.262 0.092
Tl 0.326 0.832 0.813
Tl 0.412 0.412 0.687
Tl 0.588 0.588 0.313
Tl 0.674 0.168 0.187
Tl 0.738 0.738 0.908
Tl 0.832 0.326 0.813
Pb 0.130 0.130 0.507
Pb 0.870 0.870 0.493
CELL_PARAMETERS angstrom
6.268 -5.220 0.000
6.268 5.220 0.000
-1.663 0.000 5.491
```

Calculated values
The relative energy among the computed polymorphs is 80 meV per atom.

| no. | D(E_F) (states/eV per cell) |
| --- | --- |
| 1 | 1.539 |
| 2 | 2.120 |
| 3 | 1.249 |
| 4 | 3.359 |
| 5 | 1.728 |
| 6 | 3.151 |
| 7 | 2.289 |
| 8 | 2.455 |
| 9 | 1.928 |
| 10 | 1.058 |
| 11 | 2.864 |
| 12 | 2.781 |
| 13 | 4.684 |
| 14 | 5.448 |
| 15 | 1.493 |
| 16 | 2.671 |
| 17 | 3.543 |
| 18 | 3.758 |
| 19 | 2.036 |
| 20 | 4.245 |